Mg3Sc2: optimized geometry, PBE.

Cell lengths 13.069, 13.069, 13.069 Å; angles 14.33, 14.33, 14.33 degrees
Positions (direct):
Sc1 0.600 0.600 0.600
Sc2 0.400 0.400 0.400
Mg1 0.000 0.000 0.000
Mg2 0.200 0.200 0.200
Mg3 0.800 0.800 0.800

Properties
formation energy from the elements = 28 meV per atom
energy relative to the lowest polymorph listed for this composition = 0.0 kJ/mol of formula units
total magnetic moment = 0.01 μB/cell
calculated volume = 119.1 Å³ per cell

Mg3Sc2: optimized geometry, PBE.

Cell lengths 8.168, 9.463, 6.148 Å; angles 90.00, 90.00, 90.00 degrees
Positions (direct):
Mg1 0.533 0.874 0.863
Mg2 0.967 0.374 0.637
Mg3 0.533 0.626 0.137
Mg4 0.967 0.126 0.363
Mg5 0.467 0.126 0.137
Mg6 0.033 0.626 0.363
Mg7 0.467 0.374 0.863
Mg8 0.033 0.874 0.637
Mg9 0.855 0.750 0.000
Mg10 0.645 0.250 0.500
Mg11 0.145 0.250 0.000
Mg12 0.355 0.750 0.500
Sc1 0.184 0.913 0.116
Sc2 0.316 0.413 0.384
Sc3 0.184 0.587 0.884
Sc4 0.316 0.087 0.616
Sc5 0.816 0.087 0.884
Sc6 0.684 0.587 0.616
Sc7 0.816 0.413 0.116
Sc8 0.684 0.913 0.384

Properties
formation energy from the elements = 69 meV per atom
energy relative to the lowest polymorph listed for this composition = 19.8 kJ/mol of formula units
total magnetic moment = 0.00 μB/cell
calculated volume = 475.2 Å³ per cell

MgSc4: optimized geometry, PBE.

Cell lengths 5.596, 5.596, 5.596 Å; angles 100.17, 100.17, 130.32 degrees
Positions (direct):
Mg1 0.000 0.000 0.000
Sc1 0.809 0.397 0.205
Sc2 0.397 0.191 0.588
Sc3 0.191 0.603 0.795
Sc4 0.603 0.809 0.412

Properties
formation energy from the elements = 44 meV per atom
energy relative to the lowest polymorph listed for this composition = 19.9 kJ/mol of formula units
total magnetic moment = 0.00 μB/cell
calculated volume = 121.2 Å³ per cell

Mg13Sc2: optimized geometry, PBE.

Cell lengths 8.068, 8.068, 8.895 Å; angles 63.03, 63.03, 60.00 degrees
Positions (direct):
Mg1 0.500 0.500 0.500
Mg2 0.386 0.011 0.218
Mg3 0.386 0.386 0.218
Mg4 0.011 0.386 0.218
Mg5 0.989 0.614 0.782
Mg6 0.614 0.989 0.782
Mg7 0.614 0.614 0.782
Mg8 0.248 0.860 0.644
Mg9 0.248 0.248 0.644
Mg10 0.860 0.248 0.644
Mg11 0.140 0.752 0.356
Mg12 0.752 0.140 0.356
Mg13 0.752 0.752 0.356
Sc1 0.371 0.371 0.888
Sc2 0.629 0.629 0.112

Properties
formation energy from the elements = 286 meV per atom
total magnetic moment = 0.00 μB/cell
calculated volume = 427.2 Å³ per cell

Mg8Sc: optimized geometry, PBE.

Cell lengths 7.724, 7.724, 7.724 Å; angles 93.23, 93.23, 152.55 degrees
Positions (direct):
Mg1 0.330 0.000 0.330
Mg2 0.670 0.000 0.670
Mg3 0.000 0.670 0.670
Mg4 0.333 0.667 0.000
Mg5 0.667 0.667 0.334
Mg6 0.000 0.330 0.330
Mg7 0.333 0.333 0.666
Mg8 0.667 0.333 0.000
Sc1 0.000 0.000 0.000

Properties
formation energy from the elements = 0 meV per atom
energy relative to the lowest polymorph listed for this composition = 8.6 kJ/mol of formula units
total magnetic moment = 0.00 μB/cell
calculated volume = 206.3 Å³ per cell

Mg3Sc4: optimized geometry, PBE.

Cell lengths 5.745, 5.745, 5.861 Å; angles 90.00, 90.00, 120.00 degrees
Positions (direct):
Mg1 0.000 0.500 0.000
Mg2 0.500 0.500 0.000
Mg3 0.500 0.000 0.000
Sc1 0.000 0.000 0.262
Sc2 0.000 0.000 0.738
Sc3 0.667 0.333 0.500
Sc4 0.333 0.667 0.500

Properties
formation energy from the elements = 74 meV per atom
energy relative to the lowest polymorph listed for this composition = 74.7 kJ/mol of formula units
total magnetic moment = 0.81 μB/cell
calculated volume = 167.5 Å³ per cell